Record 1
Ga3AgAu3: relaxed, PBE.

Structure (extended XYZ):
```
14
Lattice="3.905 2.254 5.257 -3.905 2.254 5.257 0.000 -4.509 5.257" Properties=species:S:1:pos:R:3 pbc="T T T"
Ga -1.393 -2.316 6.136
Ga -2.702 0.048 9.634
Ga -1.309 2.364 6.136
Ga 1.309 -2.364 9.634
Ga 2.702 -0.048 6.136
Ga 1.393 2.316 9.634
Ag 0.000 0.000 2.737
Ag 0.000 0.000 13.033
Au -2.390 0.059 6.939
Au -1.246 -2.041 8.830
Au 1.145 -2.100 6.939
Au -1.145 2.100 8.830
Au 1.246 2.041 6.939
Au 2.390 -0.059 8.830
```

Calculated values
Energy relative to the lowest polymorph listed for this composition ... 0.000 eV/atom
Calculated volume ... 19.829 A^3/atom
Symmetry ... R-3, No. 148
Energy of formation ... -0.160 eV/atom

***

Record 2
LaTi2FeSi: relaxed, PBE.

Structure (extended XYZ):
```
5
Lattice="4.654 0.000 0.000 0.000 4.654 0.000 0.000 0.000 4.429" Properties=species:S:1:pos:R:3 pbc="T T T"
La 0.000 0.000 0.000
Ti 0.000 2.327 2.214
Ti 2.327 0.000 2.214
Fe 2.327 2.327 2.214
Si 2.327 2.327 0.000
```

Calculated values
Uncorrected energy ... -6.966 eV per atom
Calculated volume ... 19.184 A^3/atom
Symmetry ... P4/mmm, No. 123

***

Record 3
Cs2NaLiAu: relaxed, PBE.

Structure (extended XYZ):
```
5
Lattice="7.120 0.000 0.000 0.000 7.120 0.000 0.000 0.000 5.269" Properties=species:S:1:pos:R:3 pbc="T T T"
Cs 0.000 3.560 0.000
Cs 3.560 0.000 0.000
Na 0.000 0.000 2.635
Li 3.560 3.560 2.635
Au 3.560 3.560 0.000
```

Calculated values
Calculated volume ... 53.422 A^3/atom
Symmetry ... P4/mmm, No. 123
Energy of formation ... -0.083 eV/atom

***

Record 4
K2YTe: relaxed, PBE.

Structure (extended XYZ):
```
4
Lattice="3.160 -5.873 0.000 3.160 5.873 0.000 0.000 0.000 4.350" Properties=species:S:1:pos:R:3 pbc="T T T"
K 1.580 2.936 0.000
K 1.580 -2.936 0.000
Y 0.000 0.000 2.175
Te 3.160 0.000 2.175
```

Calculated values
Uncorrected energy ... -3.095 eV per atom
Calculated volume ... 40.363 A^3/atom
Symmetry ... Cmmm, No. 65

***

Record 5
K2TcIr: relaxed, PBE.

Structure (extended XYZ):
```
4
Lattice="2.845 0.000 0.000 0.000 3.971 0.000 -0.155 0.000 10.224" Properties=species:S:1:pos:R:3 pbc="T T T"
K 0.000 0.000 0.000
K 1.245 1.985 4.361
Tc 1.248 1.985 7.665
Ir 2.668 0.000 6.831
```

Calculated values
Energy relative to the lowest polymorph listed for this composition ... 0.000 eV/atom
Calculated volume ... 28.876 A^3/atom
Symmetry ... Pm, No. 6
Energy of formation ... 0.529 eV/atom

***

Record 6
NdTmCd: relaxed, PBE.

Structure (extended XYZ):
```
6
Lattice="14.351 -1.736 0.000 14.351 1.736 0.000 -0.001 0.000 3.527" Properties=species:S:1:pos:R:3 pbc="T T T"
Nd 0.000 0.000 0.000
Nd 4.499 0.000 3.526
Tm 8.862 0.000 3.521
Tm 25.608 0.000 1.759
Cd 16.583 0.000 1.765
Cd 21.155 0.000 1.759
```

Calculated values
Energy relative to the lowest polymorph listed for this composition ... 0.075 eV/atom
Calculated volume ... 29.278 A^3/atom
Symmetry ... Cm, No. 8
Energy of formation ... -0.116 eV/atom

***

Record 7
AsIrS2: relaxed, PBE.

Structure (extended XYZ):
```
4
Lattice="1.760 1.016 7.566 -1.760 1.016 7.566 0.000 -2.032 7.566" Properties=species:S:1:pos:R:3 pbc="T T T"
As 0.000 0.000 0.000
Ir 0.000 0.000 11.348
S 0.000 0.000 2.573
S 0.000 0.000 20.124
```

Calculated values
Uncorrected energy ... -5.494 eV per atom
Calculated volume ... 20.286 A^3/atom
Symmetry ... R-3m, No. 166

***

Record 8
Pr12Er6Zr: relaxed, PBE.

Structure (extended XYZ):
```
19
Lattice="7.889 4.555 2.955 -7.889 4.555 2.955 0.000 -9.110 2.955" Properties=species:S:1:pos:R:3 pbc="T T T"
Pr -2.490 -3.341 3.012
Pr -5.054 2.443 2.948
Pr 0.411 -5.598 2.948
Pr -4.643 -3.155 5.917
Pr -1.648 3.827 3.012
Pr -4.138 0.487 5.852
Pr 4.138 -0.487 3.012
Pr 1.648 -3.827 5.852
Pr 4.643 3.155 2.948
Pr -0.411 5.598 5.917
Pr 5.054 -2.443 5.917
Pr 2.490 3.341 5.852
Er -1.985 0.229 2.914
Er 0.794 -1.834 2.914
Er 1.191 1.605 2.914
Er -1.191 -1.605 5.951
Er -0.794 1.834 5.951
Er 1.985 -0.229 5.951
Zr 0.000 0.000 0.000
```

Calculated values
Calculated volume ... 33.533 A^3/atom
Symmetry ... R-3, No. 148
Energy of formation ... 0.041 eV/atom